BaBeIr4 | Alexandria | GGA-PBE | relaxed; DFT total energy = -6.388 eV/atom; formation enthalpy at 0 K = 461 meV/atom; calculated density = 13.7 g/cm3
1.0
0.0000 3.8113 3.8113
3.8113 0.0000 3.8113
3.8113 3.8113 0.0000
Be Ir Ba
1 4 1
Cartesian
0.0000 0.0000 0.0000
4.7708 2.8518 4.7708
4.7708 4.7708 2.8518
2.8518 2.8518 2.8518
2.8518 4.7708 4.7708
5.7170 5.7170 5.7170